This record from Alexandria describes a geometry-optimized Ir2Br structure. The functional is PBE-GGA.

Properties
uncorrected formation energy: 186 kJ/mol of formula units
N(E_F): 1.362 states/eV per atom

CIF file:
```
data_Ir2Br
_chemical_formula_sum 'Ir16 Br8'
_cell_length_a 3.6471
_cell_length_b 3.6471
_cell_length_c 41.4497
_cell_angle_alpha 90.00
_cell_angle_beta 90.00
_cell_angle_gamma 90.00
_symmetry_space_group_name_H-M 'I 41/a m d'
_symmetry_Int_Tables_number 141
loop_
_symmetry_equiv_pos_as_xyz
'x,y,z'
'-x,-y,-z'
'-y+1/4,x+3/4,z+1/4'
'y+1/4,-x+3/4,-z+1/4'
'-x+1/2,-y,z+1/2'
'x+1/2,y,-z+1/2'
'y+1/4,-x+1/4,z+3/4'
'-y+1/4,x+1/4,-z+3/4'
'x,-y,-z'
'-x,y,z'
'-y+1/4,-x+1/4,-z+3/4'
'y+1/4,x+1/4,z+3/4'
'-x+1/2,y,-z+1/2'
'x+1/2,-y,z+1/2'
'y+1/4,x+3/4,-z+1/4'
'-y+1/4,-x+3/4,z+1/4'
'x+1/2,y+1/2,z+1/2'
'-x+1/2,-y+1/2,-z+1/2'
'-y+3/4,x+1/4,z+3/4'
'y+3/4,-x+1/4,-z+3/4'
'-x,-y+1/2,z'
'x,y+1/2,-z'
'y+3/4,-x+3/4,z+1/4'
'-y+3/4,x+3/4,-z+1/4'
'x+1/2,-y+1/2,-z+1/2'
'-x+1/2,y+1/2,z+1/2'
'-y+3/4,-x+3/4,-z+1/4'
'y+3/4,x+3/4,z+1/4'
'-x,y+1/2,-z'
'x,-y+1/2,z'
'y+3/4,x+1/4,-z+3/4'
'-y+3/4,-x+1/4,z+3/4'
loop_
_atom_site_label
_atom_site_fract_x
_atom_site_fract_y
_atom_site_fract_z
_atom_site_occupancy
Ir1 0.0000 0.2500 0.1212 1
Ir2 0.0000 0.2500 0.8305 1
Br1 0.0000 0.2500 0.2949 1
```


This record from Alexandria describes a geometry-optimized PuThGa2 structure. The functional is PBE-GGA.

Properties
energy relative to the elements: -7.97 kcal/mol of atoms
N(E_F): 2.538 states/eV per atom

CIF file:
```
data_PuThGa2
_chemical_formula_sum 'Pu1 Th1 Ga2'
_cell_length_a 4.7039
_cell_length_b 4.7039
_cell_length_c 4.2594
_cell_angle_alpha 90.00
_cell_angle_beta 90.00
_cell_angle_gamma 90.00
_symmetry_space_group_name_H-M 'P 4/m m m'
_symmetry_Int_Tables_number 123
_symmetry_space_group_name_Hall '-P 4 2'
loop_
_atom_site_label
_atom_site_fract_x
_atom_site_fract_y
_atom_site_fract_z
_atom_site_occupancy
Pu1 0.0000 0.0000 0.0000 1
Th1 0.5000 0.5000 0.0000 1
Ga1 0.0000 0.5000 0.5000 1
```


Number 1: E above lowest polymorph 27.64 kJ/mol of atoms, raw total energy -5.823 eV/atom. Number 2: E above lowest polymorph 0.00 kJ/mol of atoms, raw total energy -7.297 eV/atom.